[1]
Entry from the Alexandria database: SrLiV after structural relaxation (PBE).

Summary:
* distance to the lowest polymorph of the same formula: 40 meV per atom
* calculated formation energy: 0.49 eV per atom
* D(E_F): 0.6833 states/eV per atom
* calculated total energy: -3.7458 eV per atom
* total moment: 0.00 Bohr magnetons per cell

Unit cell a=15.348 b=5.559 c=4.337 alpha=90.00 beta=106.31 gamma=90.00
Space group Cm (No. 8)
Inequivalent atoms, fractional coordinates:
Sr 0.000 0.000 0.000 x2
Sr 0.233 0.000 0.734 x2
Li 0.290 0.500 0.289 x2
Li 0.433 0.000 0.433 x2
V 0.112 0.500 0.826 x2
V 0.113 0.500 0.405 x2

---

[2]
Entry from the Alexandria database: K3Cl3F after structural relaxation (PBE).

Summary:
* uncorrected formation energy: -1.82 eV per atom
* D(E_F): 0.0000 states/eV per atom
* calculated total energy: -3.3513 eV per atom
* total moment: 0.36 Bohr magnetons per cell

Unit cell a=8.486 b=13.074 c=7.691 alpha=90.00 beta=103.93 gamma=90.00
Space group C2/m (No. 12)
Inequivalent atoms, fractional coordinates:
K 0.140 0.000 0.311 x4
K 0.244 0.179 0.750 x8
Cl 0.000 0.173 0.000 x4
Cl 0.000 0.335 0.500 x4
Cl 0.017 0.500 0.873 x4
F 0.149 0.000 0.648 x4

---

[3]
Entry from the Alexandria database: LiBeP2 after structural relaxation (PBE).

Summary:
* calculated formation energy: -0.18 eV per atom
* D(E_F): 0.1343 states/eV per atom
* calculated total energy: -4.2982 eV per atom
* total moment: 0.00 Bohr magnetons per cell

Unit cell a=4.328 b=4.328 c=13.846 alpha=90.00 beta=90.00 gamma=90.00
Space group I-42d (No. 122)
Inequivalent atoms, fractional coordinates:
Li 0.000 0.000 0.000 x4
Be 0.000 0.000 0.500 x4
P 0.130 0.250 0.625 x8

---

[4]
Entry from the Alexandria database: ReAsIr2 after structural relaxation (PBE).

Summary:
* calculated formation energy: 0.18 eV per atom
* D(E_F): 0.7553 states/eV per atom
* calculated total energy: -8.5209 eV per atom
* total moment: 0.00 Bohr magnetons per cell

Unit cell a=9.308 b=2.839 c=4.562 alpha=90.00 beta=92.34 gamma=90.00
Space group C2/m (No. 12)
Inequivalent atoms, fractional coordinates:
Re 0.000 0.000 0.000 x2
As 0.000 0.500 0.500 x2
Ir 0.230 0.500 0.242 x4

---

[5]
Entry from the Alexandria database: Ce6In3Ru after structural relaxation (PBE).

Summary:
* calculated formation energy: -0.25 eV per atom
* D(E_F): 2.8769 states/eV per atom
* calculated total energy: -5.5561 eV per atom
* total moment: 27.50 Bohr magnetons per cell

Unit cell a=10.3406 b=10.3406 c=17.3600 alpha=90.00 beta=90.00 gamma=120.00
Space group R-3m (No. 166, hexagonal axes)
Inequivalent atoms, fractional coordinates:
Ce 0.0780 0.5390 0.2547 x18
Ce 0.0924 0.5462 0.5676 x18
In 0.1066 0.2131 0.2531 x18
Ru 0.0000 0.0000 0.0000 x3
Ru 0.0000 0.0000 0.5000 x3

---

[6]
Entry from the Alexandria database: ZrAg2Pb after structural relaxation (PBE).

Summary:
* calculated formation energy: 0.03 eV per atom
* D(E_F): 0.3927 states/eV per atom
* calculated total energy: -4.4602 eV per atom
* total moment: 0.00 Bohr magnetons per cell

Unit cell a=3.121 b=4.458 c=6.374 alpha=90.00 beta=103.79 gamma=90.00
Space group Pm (No. 6)
Inequivalent atoms, fractional coordinates:
Zr 0.000 0.000 0.000 x1
Ag 0.238 0.000 0.467 x1
Ag 0.638 0.500 0.273 x1
Pb 0.387 0.500 0.766 x1

---

[7]
Entry from the Alexandria database: PmSm6Tm4 after structural relaxation (PBE).

Summary:
* distance to the lowest polymorph of the same formula: 147 meV per atom
* calculated formation energy: 0.30 eV per atom
* D(E_F): 1.4880 states/eV per atom
* calculated total energy: -4.3286 eV per atom
* total moment: 0.00 Bohr magnetons per cell

Unit cell a=6.531 b=6.531 c=17.455 alpha=90.00 beta=90.00 gamma=90.00
Space group I-42m (No. 121)
Inequivalent atoms, fractional coordinates:
Pm 0.000 0.000 0.000 x2
Sm 0.000 0.500 0.000 x4
Sm 0.179 0.179 0.362 x8
Tm 0.184 0.184 0.172 x8

---

[8]
Entry from the Alexandria database: TaNbTl3 after structural relaxation (PBE).

Summary:
* distance to the lowest polymorph of the same formula: 0 meV per atom
* calculated formation energy: 1.42 eV per atom
* D(E_F): 0.6449 states/eV per atom
* calculated total energy: -4.3891 eV per atom
* total moment: 2.82 Bohr magnetons per cell

Unit cell a=5.390 b=5.390 c=5.390 alpha=90.00 beta=90.00 gamma=90.00
Space group Pm-3m (No. 221)
Inequivalent atoms, fractional coordinates:
Ta 0.000 0.000 0.000 x1
Nb 0.500 0.500 0.500 x1
Tl 0.000 0.000 0.500 x3

---

[9]
Entry from the Alexandria database: Cs2LiHgBi after structural relaxation (PBE).

Summary:
* distance to the lowest polymorph of the same formula: 0 meV per atom
* calculated formation energy: -0.25 eV per atom
* D(E_F): 0.3712 states/eV per atom
* calculated total energy: -1.8097 eV per atom
* total moment: 0.00 Bohr magnetons per cell

Unit cell a=6.976 b=6.976 c=5.120 alpha=90.00 beta=90.00 gamma=90.00
Space group P4/mmm (No. 123)
Inequivalent atoms, fractional coordinates:
Cs 0.000 0.500 0.000 x2
Li 0.000 0.000 0.000 x1
Hg 0.500 0.500 0.500 x1
Bi 0.000 0.000 0.500 x1

---

[10]
Entry from the Alexandria database: Pm6Pr2Y3 after structural relaxation (PBE).

Summary:
* distance to the lowest polymorph of the same formula: 102 meV per atom
* calculated formation energy: 0.27 eV per atom
* D(E_F): 1.3679 states/eV per atom
* calculated total energy: -4.9550 eV per atom
* total moment: 0.00 Bohr magnetons per cell

Unit cell a=4.831 b=4.831 c=33.986 alpha=90.00 beta=90.00 gamma=90.00
Space group I4/mmm (No. 139)
Inequivalent atoms, fractional coordinates:
Pm 0.000 0.000 0.195 x4
Pm 0.000 0.500 0.121 x8
Pr 0.000 0.000 0.046 x4
Y 0.000 0.000 0.298 x4
Y 0.000 0.000 0.500 x2

---

[11]
Entry from the Alexandria database: Li2InSnBr after structural relaxation (PBE).

Summary:
* uncorrected formation energy: -0.04 eV per atom
* D(E_F): 0.2800 states/eV per atom
* calculated total energy: -2.4849 eV per atom
* total moment: 0.00 Bohr magnetons per cell

Unit cell a=5.248 b=5.248 c=6.017 alpha=90.00 beta=90.00 gamma=90.00
Space group P4/mmm (No. 123)
Inequivalent atoms, fractional coordinates:
Li 0.000 0.500 0.000 x2
In 0.000 0.000 0.500 x1
Sn 0.500 0.500 0.000 x1
Br 0.500 0.500 0.500 x1

---

[12]
Entry from the Alexandria database: PmNd4Co2 after structural relaxation (PBE).

Summary:
* distance to the lowest polymorph of the same formula: 157 meV per atom
* calculated formation energy: 0.15 eV per atom
* D(E_F): 1.2240 states/eV per atom
* calculated total energy: -5.2804 eV per atom
* total moment: 1.77 Bohr magnetons per cell

Unit cell a=4.787 b=17.035 c=4.742 alpha=90.00 beta=90.00 gamma=90.00
Space group Cmmm (No. 65)
Inequivalent atoms, fractional coordinates:
Pm 0.000 0.000 0.000 x2
Nd 0.000 0.165 0.500 x4
Nd 0.000 0.341 0.000 x4
Co 0.000 0.435 0.500 x4

---

[13]
Entry from the Alexandria database: Si2As after structural relaxation (PBE).

Summary:
* uncorrected formation energy: 0.41 eV per atom
* distance to the lowest polymorph of the same formula: 251 meV per atom
* D(E_F): 0.3356 states/eV per atom
* calculated total energy: -4.7545 eV per atom
* total moment: 0.00 Bohr magnetons per cell

Unit cell a=10.759 b=3.320 c=7.091 alpha=90.00 beta=117.79 gamma=90.00
Space group Cm (No. 8)
Inequivalent atoms, fractional coordinates:
Si 0.000 0.000 0.000 x2
Si 0.042 0.500 0.755 x2
Si 0.265 0.000 0.191 x2
Si 0.412 0.500 0.449 x2
As 0.044 0.500 0.325 x2
As 0.250 0.000 0.841 x2

---

[14]
Entry from the Alexandria database: SmSi2PdPt2 after structural relaxation (PBE).

Summary:
* uncorrected formation energy: -0.97 eV per atom
* D(E_F): 0.1538 states/eV per atom
* calculated total energy: -6.4439 eV per atom
* total moment: 0.00 Bohr magnetons per cell

Unit cell a=4.2093 b=4.2093 c=6.8643 alpha=90.00 beta=90.00 gamma=120.00
Space group P-3m1 (No. 164)
Inequivalent atoms, fractional coordinates:
Sm 0.0000 0.0000 0.0000 x1
Si 0.3333 0.6667 0.3185 x2
Pd 0.0000 0.0000 0.5000 x1
Pt 0.3333 0.6667 0.7089 x2

---

[15]
Entry from the Alexandria database: MgBH3 after structural relaxation (PBE).

Summary:
* distance to the lowest polymorph of the same formula: 0 meV per atom
* D(E_F): 0.0000 states/eV per atom
* calculated total energy: -3.7469 eV per atom
* total moment: 0.00 Bohr magnetons per cell

Unit cell a=6.687 b=5.489 c=7.421 alpha=90.00 beta=120.88 gamma=90.00
Space group P2_1/c (No. 14)
Inequivalent atoms, fractional coordinates:
Mg 0.238 0.051 0.141 x4
B 0.472 0.138 0.544 x4
H 0.305 0.244 0.908 x4
H 0.360 0.722 0.377 x4
H 0.417 0.094 0.678 x4

---

[16]
Entry from the Alexandria database: SrHgPd2 after structural relaxation (PBE).

Summary:
* calculated formation energy: -0.50 eV per atom
* D(E_F): 0.3760 states/eV per atom
* calculated total energy: -3.5956 eV per atom
* total moment: 0.00 Bohr magnetons per cell

Unit cell a=4.7229 b=4.7229 c=15.0876 alpha=90.00 beta=90.00 gamma=120.00
Space group R-3m (No. 166, hexagonal axes)
Inequivalent atoms, fractional coordinates:
Sr 0.0000 0.0000 0.0000 x3
Hg 0.0000 0.0000 0.5000 x3
Pd 0.0000 0.0000 0.1996 x6

---

[17]
Entry from the Alexandria database: ErTmBi2 after structural relaxation (PBE).

Summary:
* distance to the lowest polymorph of the same formula: 105 meV per atom
* calculated formation energy: -0.70 eV per atom
* D(E_F): 0.1362 states/eV per atom
* calculated total energy: -4.8964 eV per atom
* total moment: 0.00 Bohr magnetons per cell

Unit cell a=4.4073 b=4.4073 c=22.5383 alpha=90.00 beta=90.00 gamma=120.00
Space group R3m (No. 160, hexagonal axes)
Inequivalent atoms, fractional coordinates:
Er 0.0000 0.0000 0.0000 x3
Tm 0.0000 0.0000 0.8299 x3
Bi 0.0000 0.0000 0.4134 x3
Bi 0.0000 0.0000 0.5827 x3

---

[18]
Entry from the Alexandria database: Ca2TlOs after structural relaxation (PBE).

Summary:
* distance to the lowest polymorph of the same formula: 98 meV per atom
* calculated formation energy: 0.32 eV per atom
* D(E_F): 0.6525 states/eV per atom
* calculated total energy: -4.0793 eV per atom
* total moment: 0.00 Bohr magnetons per cell

Unit cell a=4.532 b=4.532 c=8.920 alpha=90.00 beta=90.00 gamma=90.00
Space group I-4m2 (No. 119)
Inequivalent atoms, fractional coordinates:
Ca 0.000 0.000 0.000 x2
Ca 0.000 0.500 0.250 x2
Tl 0.000 0.000 0.500 x2
Os 0.000 0.500 0.750 x2

---

[19]
Entry from the Alexandria database: SmCuPb after structural relaxation (PBE).

Summary:
* calculated formation energy: -0.37 eV per atom
* D(E_F): 0.2520 states/eV per atom
* calculated total energy: -4.5421 eV per atom
* total moment: 0.00 Bohr magnetons per cell

Unit cell a=4.6537 b=4.6537 c=7.6699 alpha=90.00 beta=90.00 gamma=120.00
Space group P6_3/mmc (No. 194)
Inequivalent atoms, fractional coordinates:
Sm 0.0000 0.0000 0.0000 x2
Cu 0.3333 0.6667 0.2500 x2
Pb 0.3333 0.6667 0.7500 x2

---

[20]
Entry from the Alexandria database: PaBeIrRu after structural relaxation (PBE).

Summary:
* calculated formation energy: -0.30 eV per atom
* D(E_F): 0.6096 states/eV per atom
* calculated total energy: -8.1409 eV per atom
* total moment: 0.00 Bohr magnetons per cell

Unit cell a=6.446 b=6.446 c=6.446 alpha=90.00 beta=90.00 gamma=90.00
Space group F-43m (No. 216)
Inequivalent atoms, fractional coordinates:
Pa 0.000 0.000 0.000 x4
Be 0.000 0.000 0.500 x4
Ir 0.250 0.250 0.750 x4
Ru 0.250 0.250 0.250 x4

---

[21]
Entry from the Alexandria database: SrTl8Hg2 after structural relaxation (PBE).

Summary:
* calculated formation energy: -0.02 eV per atom
* D(E_F): 0.5605 states/eV per atom
* calculated total energy: -1.9438 eV per atom
* total moment: 0.00 Bohr magnetons per cell

Unit cell a=14.788 b=9.246 c=5.597 alpha=90.00 beta=101.29 gamma=90.00
Space group C2/m (No. 12)
Inequivalent atoms, fractional coordinates:
Sr 0.000 0.000 0.000 x2
Tl 0.075 0.309 0.773 x8
Tl 0.125 0.500 0.305 x4
Tl 0.236 0.000 0.118 x4
Hg 0.136 0.000 0.561 x4

---

[22]
Entry from the Alexandria database: ReHgAsRu2 after structural relaxation (PBE).

Summary:
* calculated formation energy: 1.28 eV per atom
* D(E_F): 1.2776 states/eV per atom
* calculated total energy: -5.9095 eV per atom
* total moment: 0.00 Bohr magnetons per cell

Unit cell a=4.786 b=4.786 c=4.680 alpha=90.00 beta=90.00 gamma=90.00
Space group P4/mmm (No. 123)
Inequivalent atoms, fractional coordinates:
Re 0.000 0.000 0.000 x1
Hg 0.500 0.500 0.500 x1
As 0.000 0.000 0.500 x1
Ru 0.000 0.500 0.000 x2

---

[23]
Entry from the Alexandria database: NdBi2Pb after structural relaxation (PBE).

Summary:
* distance to the lowest polymorph of the same formula: 554 meV per atom
* calculated formation energy: 0.11 eV per atom
* D(E_F): 1.0580 states/eV per atom
* calculated total energy: -3.9491 eV per atom
* total moment: 0.00 Bohr magnetons per cell

Unit cell a=4.8460 b=4.8460 c=27.4562 alpha=90.00 beta=90.00 gamma=120.00
Space group R-3m (No. 166, hexagonal axes)
Inequivalent atoms, fractional coordinates:
Nd 0.0000 0.0000 0.0000 x3
Bi 0.0000 0.0000 0.3913 x6
Pb 0.0000 0.0000 0.5000 x3

---

[24]
Entry from the Alexandria database: ErScMo after structural relaxation (PBE).

Summary:
* distance to the lowest polymorph of the same formula: 0 meV per atom
* calculated formation energy: 0.17 eV per atom
* D(E_F): 1.1726 states/eV per atom
* calculated total energy: -7.0682 eV per atom
* total moment: 0.00 Bohr magnetons per cell

Unit cell a=10.893 b=4.815 c=5.058 alpha=90.00 beta=90.00 gamma=90.00
Space group Pnma (No. 62)
Inequivalent atoms, fractional coordinates:
Er 0.242 0.250 0.031 x4
Sc 0.062 0.250 0.554 x4
Mo 0.059 0.750 0.978 x4

---

[25]
Entry from the Alexandria database: SrMnTc2 after structural relaxation (PBE).

Summary:
* distance to the lowest polymorph of the same formula: 369 meV per atom
* calculated formation energy: 0.79 eV per atom
* D(E_F): 1.1221 states/eV per atom
* calculated total energy: -7.1023 eV per atom
* total moment: 6.49 Bohr magnetons per cell

Unit cell a=3.189 b=5.139 c=9.651 alpha=90.00 beta=90.00 gamma=90.00
Space group Imm2 (No. 44)
Inequivalent atoms, fractional coordinates:
Sr 0.000 0.000 0.000 x2
Mn 0.000 0.500 0.210 x2
Tc 0.000 0.000 0.475 x2
Tc 0.000 0.500 0.785 x2